(1)
A geometry-optimized Hf4TlCo structure, computed with GGA-PBE.

Geometry as extended XYZ:
```
6
Lattice="5.4690 0.0000 0.0000 0.0000 5.4690 0.0000 -2.7345 -2.7345 4.3654" Properties=species:S:1:pos:R:3 pbc="T T T"
Hf 2.7345 0.0000 0.6596
Co 2.7345 2.7345 0.0000
Hf 2.7345 2.7345 2.6912
Hf 0.0000 0.0000 1.6742
Tl 0.0000 2.7345 2.1827
Hf 2.7345 0.0000 3.7059
```

Computed properties:
Total magnetic moment ... 1.39 Bohr magnetons per cell
Energy ... -7.74 eV per atom
Space group ... I-4m2



(2)
A geometry-optimized Eu2Zn5Ni5 structure, computed with GGA-PBE.

Geometry as extended XYZ:
```
12
Lattice="-3.5534 1.6430 0.8129 -2.1176 -4.8400 0.5259 2.0386 0.0626 8.7845" Properties=species:S:1:pos:R:3 pbc="T T T"
Zn -1.7872 -0.3874 2.8038
Ni 0.3396 0.0104 1.4635
Ni -1.8162 -1.5672 5.0617
Eu 1.0193 0.0313 4.3922
Ni 1.6990 0.0521 7.3210
Zn -0.7995 -0.3571 7.0598
Zn -1.7767 0.8215 0.4065
Eu -1.0588 -2.4200 0.2629
Ni -0.3588 -2.3985 3.2791
Zn -1.8452 -2.7470 7.3195
Zn -2.8328 -2.7773 3.0635
Ni 0.2798 -2.3789 6.0312
```

Computed properties:
Total magnetic moment ... 14.15 Bohr magnetons per cell
Energy ... -4.93 eV per atom
Space group ... Pmmm



(3)
A geometry-optimized SrGeF structure, computed with GGA-PBE.

Geometry as extended XYZ:
```
6
Lattice="-1.3643 -1.6759 3.4629 -1.8584 -0.8281 -3.5387 5.4592 -6.9886 -1.2314" Properties=species:S:1:pos:R:3 pbc="T T T"
Ge 0.7713 -4.2664 -1.7609
Sr 1.1481 -1.4698 -0.2590
Ge 1.5889 -5.3847 0.4258
Sr 2.8040 -6.8686 -2.2194
F -0.9402 -2.1471 0.9962
F 5.0047 -6.4069 -1.1289
```

Computed properties:
Total magnetic moment ... 0.00 Bohr magnetons per cell
ΔE to the lowest computed polymorph ... 0.050 eV/atom
Formation energy (no corrections) ... -2.137 eV/atom
Space group ... P3m1



(4)
A geometry-optimized TiSbRu structure, computed with GGA-PBE.

Geometry as extended XYZ:
```
3
Lattice="-3.1380 -2.9782 0.4689 0.3108 -3.8286 -2.0448 0.7660 -3.6275 2.2782" Properties=species:S:1:pos:R:3 pbc="T T T"
Ti 0.0000 0.0000 0.0000
Sb -1.0306 -5.2172 0.3512
Ru -0.5153 -2.6086 0.1756
```

Computed properties:
Total magnetic moment ... 0.00 Bohr magnetons per cell
Formation energy (no corrections) ... -0.453 eV/atom
Space group ... F-43m



(5)
A geometry-optimized MoPb2 structure, computed with GGA-PBE.

Geometry as extended XYZ:
```
3
Lattice="3.3504 0.0000 0.0000 -1.6752 2.9015 0.0000 0.0000 0.0000 7.4006" Properties=species:S:1:pos:R:3 pbc="T T T"
Pb 1.6752 0.9672 5.1976
Mo 0.0000 0.0000 0.0000
Pb 0.0000 1.9343 2.2029
```

Computed properties:
Total magnetic moment ... 0.00 Bohr magnetons per cell
ΔE to the lowest computed polymorph ... 0.242 eV/atom
Space group ... P-3m1



(6)
A geometry-optimized MnAlGeC2 structure, computed with GGA-PBE.

Geometry as extended XYZ:
```
5
Lattice="3.7803 0.0000 0.0000 0.0000 5.2342 0.0000 0.0000 0.0000 3.7803" Properties=species:S:1:pos:R:3 pbc="T T T"
Ge 0.0000 0.0000 0.0000
Mn 1.8902 2.6171 1.8902
C 0.0000 0.0000 1.8902
Al 0.0000 2.6171 0.0000
C 1.8902 0.0000 0.0000
```

Computed properties:
Total magnetic moment ... 0.11 Bohr magnetons per cell
Energy ... -4.78 eV per atom
Space group ... P4/mmm



(7)
A geometry-optimized TbTiS3 structure, computed with GGA-PBE.

Geometry as extended XYZ:
```
20
Lattice="-2.0050 1.9131 -2.4114 -6.5418 -3.4733 2.6837 -1.4578 9.5144 8.7601" Properties=species:S:1:pos:R:3 pbc="T T T"
S -6.7929 4.4619 7.7886
S -3.2117 3.4922 1.2438
Tb -3.5085 0.6514 2.0349
S -7.7312 3.1349 4.7180
S -3.6331 6.9239 7.1147
Tb -6.4961 7.3027 6.9975
Tb -2.9978 7.5556 4.2895
Ti -5.5448 3.4164 5.9215
S -0.8112 1.5273 0.4871
Tb -7.0068 0.3986 4.7429
S -5.5375 5.6509 4.8900
S -9.1934 6.4268 8.5454
Ti -7.1355 -1.0836 0.8761
S -4.4671 2.3033 4.1424
S -6.3715 1.0302 1.9178
S -2.2734 4.8193 4.3145
S -3.7704 0.3691 -0.7694
Ti -4.4598 4.5377 3.1109
S -6.2342 7.5850 9.8018
Ti -2.8690 9.0377 8.1563
```

Computed properties:
Total magnetic moment ... 2.93 Bohr magnetons per cell
Formation energy (no corrections) ... -1.677 eV/atom
Space group ... Pnma